Below is an optimized crystal structure of Ce2HfIn, with properties calculated at the GGA-PBE level.

Energy of formation, eV per atom: 0.058
Fermi-level density of states, states/eV/f.u.: 10.871
Calculated total energy, eV per atom: -6.081
Offset from the most stable computed form, kJ per mole of atoms: 17.26

a b c (Å): 5.3193 5.3193 5.3193
angles (deg): 60.00 60.00 60.00
With the nearest neighbours (Å) after each atom.
Positions (direct):
1 Ce 0.2500 0.2500 0.2500  4 In 3.26, 4 Hf 3.26
2 Ce 0.7500 0.7500 0.7500  4 In 3.26, 4 Hf 3.26
3 Hf 0.0000 0.0000 0.0000  8 Ce 3.26
4 In 0.5000 0.5000 0.5000  8 Ce 3.26

Below is an optimized crystal structure of CrSb2Te, with properties calculated at the GGA-PBE level.

Formation energy from raw total energies, meV/atom: 371
Fermi-level density of states, states/eV/f.u.: 2.246
Calculated total energy, eV per atom: -4.882
Offset from the most stable computed form, kJ per mole of atoms: 26.57

a b c (Å): 3.5979 5.1671 5.3597
angles (deg): 90.00 90.00 90.00
With the nearest neighbours (Å) after each atom.
Positions (direct):
1 Cr 0.0000 0.0000 0.0000  4 Te 3.15, 4 Sb 3.23
2 Sb 0.0000 0.5000 0.5000  4 Sb 3.15, 4 Te 3.23
3 Sb 0.5000 0.0000 0.5000  4 Sb 3.15, 4 Cr 3.23
4 Te 0.5000 0.5000 0.0000  4 Cr 3.15, 4 Sb 3.23

Below is an optimized crystal structure of KTbSnCl6, with properties calculated at the GGA-PBE level.

Formation energy from raw total energies, meV/atom: -1820
Fermi-level density of states, states/eV/f.u.: 0.000
Calculated total energy, eV per atom: -4.132

a b c (Å): 7.2641 7.2641 13.4674
angles (deg): 90.00 90.00 120.00
With the nearest neighbours (Å) after each atom.
Positions (direct):
1 K 0.0000 0.0000 0.0000  6 Cl 3.24
2 K 0.0000 0.0000 0.5000  6 Cl 3.24
3 Tb 0.3333 0.6667 0.2500  6 Cl 2.67
4 Tb 0.6667 0.3333 0.7500  6 Cl 2.67
5 Sn 0.3333 0.6667 0.7500  6 Cl 2.86
6 Sn 0.6667 0.3333 0.2500  6 Cl 2.86
7 Cl 0.0202 0.3757 0.1372  1 Tb 2.67, 1 Sn 2.86
8 Cl 0.0202 0.6445 0.3628  1 Tb 2.67, 1 Sn 2.86
9 Cl 0.3555 0.3757 0.3628  1 Tb 2.67, 1 Sn 2.86
10 Cl 0.3555 0.9798 0.1372  1 Tb 2.67, 1 Sn 2.86
11 Cl 0.3757 0.0202 0.6372  1 Tb 2.67, 1 Sn 2.86
12 Cl 0.3757 0.3555 0.8628  1 Tb 2.67, 1 Sn 2.86
13 Cl 0.6243 0.6445 0.1372  1 Tb 2.67, 1 Sn 2.86
14 Cl 0.6243 0.9798 0.3628  1 Tb 2.67, 1 Sn 2.86
15 Cl 0.6445 0.0202 0.8628  1 Tb 2.67, 1 Sn 2.86
16 Cl 0.6445 0.6243 0.6372  1 Tb 2.67, 1 Sn 2.86
17 Cl 0.9798 0.3555 0.6372  1 Tb 2.67, 1 Sn 2.86
18 Cl 0.9798 0.6243 0.8628  1 Tb 2.67, 1 Sn 2.86

Below is an optimized crystal structure of HfSnS, with properties calculated at the GGA-PBE level.

Formation energy from raw total energies, meV/atom: -656
Fermi-level density of states, states/eV/f.u.: 1.073
Calculated total energy, eV per atom: -6.683

a b c (Å): 3.3277 6.1081 6.8102
angles (deg): 104.90 104.05 90.08
With the nearest neighbours (Å) after each atom.
Positions (direct):
1 Hf 0.1137 0.1120 0.2281  4 S 2.64-2.66
2 Hf 0.8863 0.8880 0.7719  4 S 2.64-2.66
3 Sn 0.1887 0.6331 0.3790  4 Sn 3.05-3.33, 4 Hf 3.07-3.33, 2 S 3.08-3.09
4 Sn 0.8113 0.3669 0.6210  4 Sn 3.05-3.33, 4 Hf 3.07-3.33, 2 S 3.08-3.09
5 S 0.4780 0.2168 0.9541  4 Hf 2.64-2.66, 1 S 2.87
6 S 0.5220 0.7832 0.0459  4 Hf 2.64-2.66, 1 S 2.87

Below is an optimized crystal structure of Cu3SnP, with properties calculated at the GGA-PBE level.

Energy of formation, eV per atom: 0.229
Fermi-level density of states, states/eV/f.u.: 2.425
Calculated total energy, eV per atom: -4.111
Offset from the most stable computed form, kJ per mole of atoms: 0.00

a b c (Å): 4.4579 4.4579 4.4579
angles (deg): 90.00 90.00 90.00
With the nearest neighbours (Å) after each atom.
Positions (direct):
1 Cu 0.0000 0.0000 0.5000  2 P 2.23
2 Cu 0.0000 0.5000 0.0000  2 P 2.23
3 Cu 0.5000 0.0000 0.0000  2 P 2.23
4 Sn 0.5000 0.5000 0.5000  12 Cu 3.15
5 P 0.0000 0.0000 0.0000  6 Cu 2.23

Below is an optimized crystal structure of Sc2ReB, with properties calculated at the GGA-PBE level.

Energy of formation, eV per atom: -0.180
Fermi-level density of states, states/eV/f.u.: 1.496
Calculated total energy, eV per atom: -8.127

a b c (Å): 3.5047 5.3497 5.3497
angles (deg): 42.10 90.00 90.00
With the nearest neighbours (Å) after each atom.
Positions (direct):
1 Sc 0.0000 0.0000 0.0000  4 Re 2.78, 3 B 2.80-2.92
2 Sc 0.5000 0.2950 0.2950  4 B 2.71, 3 Re 2.75-3.02
3 Re 0.5000 0.5979 0.5979  2 B 2.13
4 B 0.0000 0.7196 0.7196  2 Re 2.13

Below is an optimized crystal structure of Sc2TlZn, with properties calculated at the GGA-PBE level.

Energy of formation, eV per atom: 0.026
Fermi-level density of states, states/eV/f.u.: 3.244
Calculated total energy, eV per atom: -4.050

a b c (Å): 6.2726 6.2726 6.2726
angles (deg): 105.14 105.14 118.54
With the nearest neighbours (Å) after each atom.
Positions (direct):
1 Sc 0.1012 0.6250 0.9762  2 Zn 2.69, 2 Tl 2.94
2 Sc 0.3750 0.3512 0.4762  2 Zn 2.69, 2 Tl 2.94
3 Sc 0.6488 0.1250 0.0238  2 Zn 2.69, 2 Tl 2.94
4 Sc 0.8750 0.8988 0.5238  2 Zn 2.69, 2 Tl 2.94
5 Tl 0.2500 0.7500 0.5000  4 Sc 2.94, 2 Zn 3.21
6 Tl 0.5000 0.5000 0.0000  4 Sc 2.94, 2 Zn 3.21
7 Zn 0.0000 0.0000 0.0000  4 Sc 2.69
8 Zn 0.7500 0.2500 0.5000  4 Sc 2.69

Below is an optimized crystal structure of Eu2CuPd, with properties calculated at the GGA-PBE level.

Energy of formation, eV per atom: -0.374
Fermi-level density of states, states/eV/f.u.: 17.135
Calculated total energy, eV per atom: -7.833

a b c (Å): 5.1263 5.1263 3.6633
angles (deg): 90.00 90.00 90.00
With the nearest neighbours (Å) after each atom.
Positions (direct):
1 Eu 0.0000 0.5000 0.0000  4 Pd 3.15, 4 Cu 3.15
2 Eu 0.5000 0.0000 0.0000  4 Pd 3.15, 4 Cu 3.15
3 Cu 0.0000 0.0000 0.5000  8 Eu 3.15
4 Pd 0.5000 0.5000 0.5000  8 Eu 3.15

calculated total energy of number 7 (Sc2TlZn)?
-4.050 eV per atom

Which of these has the lowest Fermi-level density of states?
KTbSnCl6

Please write out number 7 again, unchanged.
Below is an optimized crystal structure of Sc2TlZn, with properties calculated at the GGA-PBE level.

Energy of formation, eV per atom: 0.026
Fermi-level density of states, states/eV/f.u.: 3.244
Calculated total energy, eV per atom: -4.050

a b c (Å): 6.2726 6.2726 6.2726
angles (deg): 105.14 105.14 118.54
With the nearest neighbours (Å) after each atom.
Positions (direct):
1 Sc 0.1012 0.6250 0.9762  2 Zn 2.69, 2 Tl 2.94
2 Sc 0.3750 0.3512 0.4762  2 Zn 2.69, 2 Tl 2.94
3 Sc 0.6488 0.1250 0.0238  2 Zn 2.69, 2 Tl 2.94
4 Sc 0.8750 0.8988 0.5238  2 Zn 2.69, 2 Tl 2.94
5 Tl 0.2500 0.7500 0.5000  4 Sc 2.94, 2 Zn 3.21
6 Tl 0.5000 0.5000 0.0000  4 Sc 2.94, 2 Zn 3.21
7 Zn 0.0000 0.0000 0.0000  4 Sc 2.69
8 Zn 0.7500 0.2500 0.5000  4 Sc 2.69

Which of these has the lowest Fermi-level density of states?
KTbSnCl6